## CoPPd (PBE)

Data for a relaxed CoPPd crystal.

The value obtained for the density of states at the Fermi level is 1.9 states/eV/f.u. Its energy above the most stable polymorph in this dataset is 211 meV/atom. The value obtained for the energy of formation is -37 kJ per mole of atoms.

It has space group F-43m (No. 216), with a = 5.457 Å, b = 5.457 Å, c = 5.457 Å, α = 90.00°, β = 90.00° and γ = 90.00°. Symmetry generates all atoms from Co at (0.000, 0.000, 0.000), P at (0.250, 0.250, 0.250) and Pd at (0.000, 0.000, 0.500).

## Co3PPd (PBE)

Data for a relaxed Co3PPd crystal.

The value obtained for the density of states at the Fermi level is 7.6 states/eV/f.u. Its energy above the most stable polymorph in this dataset is 1282 meV/atom. The value obtained for the energy of formation is 150 kJ per mole of atoms.

It has space group Pm-3m (No. 221), with a = 4.532 Å, b = 4.532 Å, c = 4.532 Å, α = 90.00°, β = 90.00° and γ = 90.00°. Symmetry generates all atoms from Co at (0.000, 0.000, 0.500), P at (0.500, 0.500, 0.500) and Pd at (0.000, 0.000, 0.000).

## CoP3Pd (PBE)

Data for a relaxed CoP3Pd crystal.

The value obtained for the density of states at the Fermi level is 5.2 states/eV/f.u. The value obtained for the energy of formation is 123 kJ per mole of atoms.

It has space group Pm-3m (No. 221), with a = 4.598 Å, b = 4.598 Å, c = 4.598 Å, α = 90.00°, β = 90.00° and γ = 90.00°. Symmetry generates all atoms from Co at (0.000, 0.000, 0.000), P at (0.000, 0.500, 0.500) and Pd at (0.500, 0.500, 0.500).

## CoPPd (PBE)

Data for a relaxed CoPPd crystal.

The value obtained for the density of states at the Fermi level is 0.7 states/eV/f.u. Its energy above the most stable polymorph in this dataset is 0 meV/atom. The value obtained for the energy of formation is -58 kJ per mole of atoms.

It has space group P4/nmm (No. 129, origin choice 2), with a = 3.608 Å, b = 3.608 Å, c = 5.846 Å, α = 90.00°, β = 90.00° and γ = 90.00°. Symmetry generates all atoms from Co at (0.250, 0.750, 0.000), P at (0.250, 0.250, 0.221) and Pd at (0.250, 0.250, 0.621).

## Co3PPd (PBE)

Data for a relaxed Co3PPd crystal.

The value obtained for the density of states at the Fermi level is 4.1 states/eV/f.u. Its energy above the most stable polymorph in this dataset is 0 meV/atom. The value obtained for the energy of formation is 26 kJ per mole of atoms.

It has space group Pm-3m (No. 221), with a = 4.125 Å, b = 4.125 Å, c = 4.125 Å, α = 90.00°, β = 90.00° and γ = 90.00°. Symmetry generates all atoms from Co at (0.000, 0.000, 0.500), P at (0.000, 0.000, 0.000) and Pd at (0.500, 0.500, 0.500).

## Co2PPd2 (PBE)

Data for a relaxed Co2PPd2 crystal.

The value obtained for the density of states at the Fermi level is 4.1 states/eV/f.u. The value obtained for the energy of formation is -8 kJ per mole of atoms.

It has space group P4/mbm (No. 127), with a = 5.579 Å, b = 5.579 Å, c = 4.254 Å, α = 90.00°, β = 90.00° and γ = 90.00°. Symmetry generates all atoms from Co at (0.144, 0.356, 0.000), P at (0.000, 0.000, 0.000) and Pd at (0.176, 0.676, 0.500).

## CoPPd (PBE)

Data for a relaxed CoPPd crystal.

The value obtained for the density of states at the Fermi level is 2.0 states/eV/f.u. Its energy above the most stable polymorph in this dataset is 375 meV/atom. The value obtained for the energy of formation is -22 kJ per mole of atoms.

It has space group Pbcm (No. 57), with a = 6.972 Å, b = 5.333 Å, c = 4.378 Å, α = 90.00°, β = 90.00° and γ = 90.00°. Symmetry generates all atoms from Co at (0.198, 0.082, 0.250), P at (0.100, 0.039, 0.750) and Pd at (0.405, 0.599, 0.250).

## CoPPdS2 (PBE)

Data for a relaxed CoPPdS2 crystal.

The value obtained for the density of states at the Fermi level is 6.0 states/eV/f.u. The energy relative to the elements, uncorrected is 1.029 eV per atom. Its energy above the most stable polymorph in this dataset is 494 meV/atom.

It has space group P4/mmm (No. 123), with a = 4.842 Å, b = 4.842 Å, c = 4.411 Å, α = 90.00°, β = 90.00° and γ = 90.00°. Symmetry generates all atoms from Co at (0.000, 0.000, 0.000), P at (0.500, 0.500, 0.000), Pd at (0.500, 0.500, 0.500) and S at (0.000, 0.500, 0.500).

## CoPPdS2 (PBE)

Data for a relaxed CoPPdS2 crystal.

The value obtained for the density of states at the Fermi level is 4.3 states/eV/f.u. The energy relative to the elements, uncorrected is 0.536 eV per atom. Its energy above the most stable polymorph in this dataset is 0 meV/atom.

It has space group P4/mmm (No. 123), with a = 4.509 Å, b = 4.509 Å, c = 4.143 Å, α = 90.00°, β = 90.00° and γ = 90.00°. Symmetry generates all atoms from Co at (0.000, 0.000, 0.000), P at (0.000, 0.000, 0.500), Pd at (0.500, 0.500, 0.500) and S at (0.000, 0.500, 0.000).

## CoSb2PPd (PBE)

Data for a relaxed CoSb2PPd crystal.

The value obtained for the density of states at the Fermi level is 5.7 states/eV/f.u. The energy relative to the elements, uncorrected is 0.895 eV per atom. Its energy above the most stable polymorph in this dataset is 371 meV/atom.

It has space group P4/mmm (No. 123), with a = 5.379 Å, b = 5.379 Å, c = 4.346 Å, α = 90.00°, β = 90.00° and γ = 90.00°. Symmetry generates all atoms from Co at (0.000, 0.000, 0.000), Sb at (0.000, 0.500, 0.500), P at (0.500, 0.500, 0.000) and Pd at (0.500, 0.500, 0.500).

## CoSb2PPd (PBE)

Data for a relaxed CoSb2PPd crystal.

The value obtained for the density of states at the Fermi level is 2.4 states/eV/f.u. The energy relative to the elements, uncorrected is 0.523 eV per atom. Its energy above the most stable polymorph in this dataset is 0 meV/atom.

It has space group P4/mmm (No. 123), with a = 5.202 Å, b = 5.202 Å, c = 4.029 Å, α = 90.00°, β = 90.00° and γ = 90.00°. Symmetry generates all atoms from Co at (0.000, 0.000, 0.000), Sb at (0.000, 0.500, 0.500), P at (0.000, 0.000, 0.500) and Pd at (0.500, 0.500, 0.000).

## ScCo2PPd (PBE)

Data for a relaxed ScCo2PPd crystal.

The value obtained for the density of states at the Fermi level is 6.1 states/eV/f.u. The value obtained for the energy of formation is 82 kJ per mole of atoms.

It has space group P4/mmm (No. 123), with a = 4.537 Å, b = 4.537 Å, c = 4.934 Å, α = 90.00°, β = 90.00° and γ = 90.00°. Symmetry generates all atoms from Sc at (0.000, 0.000, 0.000), Co at (0.000, 0.500, 0.500), P at (0.500, 0.500, 0.000) and Pd at (0.000, 0.000, 0.500).

## Co2PPdSe (PBE)

Data for a relaxed Co2PPdSe crystal.

The value obtained for the density of states at the Fermi level is 10.1 states/eV/f.u. The energy relative to the elements, uncorrected is 1.329 eV per atom.

It has space group P4/mmm (No. 123), with a = 4.677 Å, b = 4.677 Å, c = 4.651 Å, α = 90.00°, β = 90.00° and γ = 90.00°. Symmetry generates all atoms from Co at (0.000, 0.500, 0.000), P at (0.000, 0.000, 0.500), Pd at (0.500, 0.500, 0.000) and Se at (0.500, 0.500, 0.500).

## SrCoPPd (PBE)

Data for a relaxed SrCoPPd crystal.

The value obtained for the density of states at the Fermi level is 3.1 states/eV/f.u. The value obtained for the energy of formation is -64 kJ per mole of atoms.

It has space group P4/nmm (No. 129, origin choice 2), with a = 3.818 Å, b = 3.818 Å, c = 10.607 Å, α = 90.00°, β = 90.00° and γ = 90.00°. Symmetry generates all atoms from Sr at (0.250, 0.250, 0.234), Co at (0.250, 0.750, 0.500), P at (0.250, 0.250, 0.608) and Pd at (0.250, 0.750, 0.000).

## Th2Co4P3Pd (PBE)

Data for a relaxed Th2Co4P3Pd crystal.

The value obtained for the density of states at the Fermi level is 7.6 states/eV/f.u. The value obtained for the energy of formation is -81 kJ per mole of atoms.

It has space group P-4m2 (No. 115), with a = 3.858 Å, b = 3.858 Å, c = 10.242 Å, α = 90.00°, β = 90.00° and γ = 90.00°. Symmetry generates all atoms from Th at (0.000, 0.500, 0.248), Co at (0.000, 0.000, 0.500), Co at (0.000, 0.500, 0.834), Co at (0.500, 0.500, 0.500), P at (0.000, 0.000, 0.000), P at (0.000, 0.500, 0.619) and Pd at (0.500, 0.500, 0.000).

## CoP2PdW (PBE)

Data for a relaxed CoP2PdW crystal.

The value obtained for the density of states at the Fermi level is 4.7 states/eV/f.u. The value obtained for the energy of formation is 86 kJ per mole of atoms.

It has space group P4/mmm (No. 123), with a = 4.184 Å, b = 4.184 Å, c = 4.615 Å, α = 90.00°, β = 90.00° and γ = 90.00°. Symmetry generates all atoms from Co at (0.000, 0.000, 0.000), P at (0.000, 0.500, 0.000), Pd at (0.500, 0.500, 0.500) and W at (0.000, 0.000, 0.500).

## YCoPPd2 (PBE)

Data for a relaxed YCoPPd2 crystal.

The value obtained for the density of states at the Fermi level is 3.5 states/eV/f.u. The value obtained for the energy of formation is -51 kJ per mole of atoms.

It has space group P4/mmm (No. 123), with a = 4.589 Å, b = 4.589 Å, c = 4.252 Å, α = 90.00°, β = 90.00° and γ = 90.00°. Symmetry generates all atoms from Y at (0.000, 0.000, 0.000), Co at (0.500, 0.500, 0.000), P at (0.500, 0.500, 0.500) and Pd at (0.000, 0.500, 0.500).

## PmCoP (PBE)

Data for a relaxed PmCoP crystal.

The value obtained for the density of states at the Fermi level is 3.0 states/eV/f.u. Its energy above the most stable polymorph in this dataset is 0 meV/atom. The value obtained for the energy of formation is -95 kJ per mole of atoms.

It has space group P-6m2 (No. 187), with a = 3.8927 Å, b = 3.8927 Å, c = 4.1257 Å, α = 90.00°, β = 90.00° and γ = 120.00°. Symmetry generates all atoms from Pm at (0.0000, 0.0000, 0.0000), Co at (0.6667, 0.3333, 0.5000) and P at (0.3333, 0.6667, 0.5000).

## Pm2Co12P7 (PBE)

Data for a relaxed Pm2Co12P7 crystal.

The value obtained for the density of states at the Fermi level is 12.4 states/eV/f.u. The value obtained for the energy of formation is -73 kJ per mole of atoms.

It has space group P-6 (No. 174), with a = 9.0611 Å, b = 9.0611 Å, c = 3.6218 Å, α = 90.00°, β = 90.00° and γ = 120.00°. Symmetry generates all atoms from Pm at (0.0000, 0.0000, 0.0000), Pm at (0.3333, 0.6667, 0.5000), Co at (0.0479, 0.7655, 0.5000), Co at (0.0988, 0.3918, 0.0000), Co at (0.3957, 0.2141, 0.0000), Co at (0.5379, 0.1028, 0.5000), P at (0.0700, 0.6278, 0.0000), P at (0.2680, 0.0414, 0.5000) and P at (0.6667, 0.3333, 0.0000).

## PmCoP (PBE)

Data for a relaxed PmCoP crystal.

The value obtained for the density of states at the Fermi level is 2.7 states/eV/f.u. Its energy above the most stable polymorph in this dataset is 352 meV/atom. The value obtained for the energy of formation is -61 kJ per mole of atoms.

It has space group R-3 (No. 148, hexagonal axes), with a = 13.0169 Å, b = 13.0169 Å, c = 7.2372 Å, α = 90.00°, β = 90.00° and γ = 120.00°. Symmetry generates all atoms from Pm at (0.0470, 0.1940, 0.2858), Co at (0.0072, 0.4085, 0.3094) and P at (0.0783, 0.2544, 0.9031).